Entry 1:
KAsBr2F: relaxed, GGA-PBE.

Cell lengths 5.5129, 5.5129, 4.6427 Å; angles 90.00, 90.00, 90.00 degrees
Site moments in Bohr magnetons follow the coordinates.
Element x y z (fractional)
As 0.5000 0.5000 0.5000  0.83
K 0.0000 0.0000 0.5000  0.00
Br 0.0000 0.5000 0.0000  0.03
Br 0.5000 0.0000 0.0000  0.03
F 0.0000 0.0000 0.0000  -0.03

Output
ΔE_f (raw) = -0.262 eV per atom

Entry 2:
NdErAl2: relaxed, GGA-PBE.

Cell lengths 3.6514, 3.6514, 7.2658 Å; angles 90.00, 90.00, 90.00 degrees
Element x y z (fractional)
Nd 0.5000 0.5000 0.5000
Al 0.0000 0.0000 0.7682
Al 0.0000 0.0000 0.2318
Er 0.5000 0.5000 0.0000

Output
formation enthalpy at 0 K = -379 meV per atom

Entry 3:
Rb2Cd5InAg2: relaxed, GGA-PBE.

Cell lengths 3.7893, 12.2473, 12.2473 Å; angles 90.00, 90.00, 90.00 degrees
Element x y z (fractional)
Rb 0.0000 0.6790 0.1790
Rb 0.0000 0.3210 0.8210
Rb 0.0000 0.1790 0.3210
Rb 0.0000 0.8210 0.6790
Cd 0.5000 0.2008 0.0569
Cd 0.5000 0.7992 0.9431
Cd 0.5000 0.0569 0.7992
Cd 0.5000 0.7008 0.4431
Cd 0.5000 0.9431 0.2008
Cd 0.5000 0.2992 0.5569
Cd 0.5000 0.5569 0.7008
Cd 0.5000 0.4431 0.2992
Cd 0.5000 0.5000 0.0000
Cd 0.5000 0.0000 0.5000
In 0.0000 0.0000 0.0000
In 0.0000 0.5000 0.5000
Ag 0.0000 0.1240 0.6240
Ag 0.0000 0.8760 0.3760
Ag 0.0000 0.6240 0.8760
Ag 0.0000 0.3760 0.1240

Output
formation enthalpy at 0 K = 18 meV per atom

no.,N(E_F) (states/eV/atom)
1,1.48
2,0.34
3,0.25